PaGaCuTc: relaxed, PBE.

Cell and atoms, written as extended XYZ:
```
4
Lattice="-0.250 -3.746 -2.703 3.105 -3.398 0.463 -1.273 -4.068 1.797" Properties=species:S:1:pos:R:3 pbc="T T T"
Cu 1.186 -8.408 -0.333
Pa 0.000 0.000 0.000
Ga 0.791 -5.606 -0.222
Tc 0.395 -2.803 -0.111
```

The total energy is -6.800 eV/atom. Its formation energy is -21 kJ/mol of formula units. The total magnetization is 0.00 μB per atom.

PaTiGaCu: relaxed, PBE.

Cell and atoms, written as extended XYZ:
```
4
Lattice="4.756 0.000 0.000 2.378 4.119 0.000 2.378 1.373 3.884" Properties=species:S:1:pos:R:3 pbc="T T T"
Ti 2.378 1.373 0.971
Pa 7.135 4.119 2.913
Ga 0.000 0.000 0.000
Cu 4.756 2.746 1.942
```

The total energy is -6.163 eV/atom. Its formation energy is -13 kJ/mol of formula units. The total magnetization is 0.58 μB per atom.

YPaGaCu: relaxed, PBE.

Cell and atoms, written as extended XYZ:
```
4
Lattice="4.977 0.000 0.000 2.488 4.310 0.000 2.488 1.437 4.064" Properties=species:S:1:pos:R:3 pbc="T T T"
Y 7.465 4.310 3.048
Cu 0.000 0.000 0.000
Ga 4.977 2.873 2.032
Pa 2.488 1.437 1.016
```

The total energy is -5.882 eV/atom. Its formation energy is -43 kJ/mol of formula units. The total magnetization is 0.00 μB per atom.

PaZnGa2Cu4: relaxed, PBE.

Cell and atoms, written as extended XYZ:
```
8
Lattice="-1.785 -3.778 -0.176 0.590 -2.738 3.105 -7.022 0.779 4.836" Properties=species:S:1:pos:R:3 pbc="T T T"
Ga -6.121 -4.322 5.799
Ga -2.097 -1.415 1.966
Cu -4.407 -0.386 3.312
Cu -3.811 -5.351 4.453
Cu -6.090 -1.986 5.037
Cu -2.127 -3.751 2.728
Zn -4.109 -2.868 3.883
Pa 0.000 0.000 0.000
```

The total energy is -4.274 eV/atom. Its formation energy is -95 kJ/mol of formula units. The total magnetization is 0.00 μB per atom.

PaZnGa2Cu: relaxed, PBE.

Cell and atoms, written as extended XYZ:
```
5
Lattice="-2.823 -2.773 -1.296 2.812 -3.046 0.391 -1.471 2.163 5.262" Properties=species:S:1:pos:R:3 pbc="T T T"
Pa 0.000 0.000 0.000
Ga -1.126 -0.569 3.669
Ga -0.355 -3.086 0.687
Cu 0.668 -1.896 2.600
Zn -2.149 -1.759 1.756
```

The total energy is -4.435 eV/atom. Its formation energy is -121 kJ/mol of formula units. The total magnetization is 0.00 μB per atom.

PaZnGa2Cu2: relaxed, PBE.

Cell and atoms, written as extended XYZ:
```
6
Lattice="4.201 0.000 0.000 -2.101 3.638 0.000 0.000 0.000 6.616" Properties=species:S:1:pos:R:3 pbc="T T T"
Pa 0.000 0.000 0.000
Cu 2.101 1.213 4.546
Cu 0.000 2.426 2.070
Zn 0.000 0.000 3.308
Ga 0.000 2.426 4.832
Ga 2.101 1.213 1.784
```

The total energy is -4.350 eV/atom. Its formation energy is -105 kJ/mol of formula units. The total magnetization is 0.00 μB per atom.

PaZnGa4Cu2: relaxed, PBE.

Cell and atoms, written as extended XYZ:
```
8
Lattice="4.293 0.000 0.000 2.147 3.718 0.000 2.147 1.239 8.945" Properties=species:S:1:pos:R:3 pbc="T T T"
Cu 6.440 3.718 7.241
Cu 2.147 1.239 1.704
Ga 6.440 3.718 3.269
Ga 4.293 2.479 7.181
Ga 2.147 1.239 5.676
Ga 4.293 2.479 1.764
Zn 4.293 2.479 4.472
Pa 0.000 0.000 0.000
```

The total energy is -3.977 eV/atom. Its formation energy is -72 kJ/mol of formula units. The total magnetization is 0.00 μB per atom.

Pa3ZnGa2Cu6: relaxed, PBE.

Cell and atoms, written as extended XYZ:
```
12
Lattice="-1.843 -4.730 0.639 3.739 0.853 -3.387 6.597 -1.642 6.869" Properties=species:S:1:pos:R:3 pbc="T T T"
Cu 5.720 -4.558 3.234
Cu 2.773 -0.960 0.888
Cu 4.643 -0.534 -0.806
Cu 3.722 -2.899 -0.486
Cu 4.771 -2.619 4.608
Cu 3.850 -4.985 4.927
Pa 2.798 -3.561 2.192
Pa 5.695 -1.958 1.929
Pa 0.000 0.000 0.000
Ga 6.170 -4.400 5.703
Ga 2.323 -1.119 -1.582
Zn 3.298 -0.821 3.435
```

The total energy is -4.937 eV/atom. Its formation energy is 110 kJ/mol of formula units. The total magnetization is 0.00 μB per atom.

Question: Which value of total energy does entry 6 give?
Answer: -4.350 eV/atom

Question: The highest total energy belongs to which entry?
Answer: PaZnGa4Cu2

Question: What is the total energy in the second record?
Answer: -6.163 eV/atom

Question: total energy of number 1 (PaGaCuTc)?
Answer: -6.800 eV/atom